An optimized crystal structure of RbAcMn2O8. Source: the Alexandria database, functional GGA+U.

Results
Calculated total energy: -77.09 eV for the cell shown
Symmetry: P-3

a b c (Å): 5.9010 5.9010 8.3932
angles (deg): 90.00 90.00 120.00
Each line ends with the local moment (μB).
Sites, in units of the cell vectors:
O (0.6405, 0.7963, 0.6947)  -0.06
O (0.6667, 0.3333, 0.0426)  -0.11
O (0.1558, 0.3595, 0.6947)  -0.06
Mn (0.3333, 0.6667, 0.7637)  1.29
Mn (0.6667, 0.3333, 0.2363)  1.29
O (0.3595, 0.2037, 0.3053)  -0.06
O (0.3333, 0.6667, 0.9574)  -0.11
O (0.8442, 0.6405, 0.3053)  -0.06
O (0.7963, 0.1558, 0.3053)  -0.06
Ac (0.0000, 0.0000, 0.5000)  0.01
O (0.2037, 0.8442, 0.6947)  -0.06
Rb (0.0000, 0.0000, 0.0000)  0.00